Record 1
# NaMo2AsBr | the Alexandria database | PBE-GGA | relaxed
# - Formation energy without anion corrections: 839 meV/atom
# - Size of the total moment: 7.13 μB per formula unit
# - Total DFT energy (no corrections): -25.11 eV/cell
data_NaMo2AsBr
_cell_length_a 4.908
_cell_length_b 4.908
_cell_length_c 5.976
_cell_angle_alpha 90.00
_cell_angle_beta 90.00
_cell_angle_gamma 90.00
_space_group_name_H-M_alt 'P 4/m m m'
_space_group_IT_number 123
_space_group_name_Hall '-P 4 2'
loop_
_atom_site_label
_atom_site_type_symbol
_atom_site_fract_x
_atom_site_fract_y
_atom_site_fract_z
_atom_site_occupancy
Na1 Na 0.000 0.000 0.000 1
Mo1 Mo 0.000 0.500 0.500 1
As1 As 0.000 0.000 0.500 1
Br1 Br 0.500 0.500 0.000 1

=====

Record 2
# NaMoAs2Br | the Alexandria database | PBE-GGA | relaxed
# - Formation energy without anion corrections: 1269 meV/atom
# - Excess energy over the best structure of this formula in the dataset: 6.77 eV/f.u.
# - Size of the total moment: 2.85 μB per formula unit
# - Total DFT energy (no corrections): -16.78 eV/cell
data_NaMoAs2Br
_cell_length_a 5.022
_cell_length_b 5.022
_cell_length_c 5.145
_cell_angle_alpha 90.00
_cell_angle_beta 90.00
_cell_angle_gamma 90.00
_space_group_name_H-M_alt 'P 4/m m m'
_space_group_IT_number 123
_space_group_name_Hall '-P 4 2'
loop_
_atom_site_label
_atom_site_type_symbol
_atom_site_fract_x
_atom_site_fract_y
_atom_site_fract_z
_atom_site_occupancy
Na1 Na 0.000 0.000 0.000 1
Mo1 Mo 0.500 0.500 0.500 1
As1 As 0.000 0.500 0.000 1
Br1 Br 0.000 0.000 0.500 1

=====

Record 3
# NbMoAsBr2 | the Alexandria database | PBE-GGA | relaxed
# - Formation energy without anion corrections: 770 meV/atom
# - Excess energy over the best structure of this formula in the dataset: 0.00 eV/f.u.
# - Size of the total moment: 5.30 μB per formula unit
# - Total DFT energy (no corrections): -25.04 eV/cell
data_NbMoAsBr2
_cell_length_a 5.146
_cell_length_b 5.146
_cell_length_c 5.133
_cell_angle_alpha 90.00
_cell_angle_beta 90.00
_cell_angle_gamma 90.00
_space_group_name_H-M_alt 'P 4/m m m'
_space_group_IT_number 123
_space_group_name_Hall '-P 4 2'
loop_
_atom_site_label
_atom_site_type_symbol
_atom_site_fract_x
_atom_site_fract_y
_atom_site_fract_z
_atom_site_occupancy
Nb1 Nb 0.000 0.000 0.000 1
Mo1 Mo 0.500 0.500 0.500 1
As1 As 0.000 0.000 0.500 1
Br1 Br 0.000 0.500 0.000 1

=====

Record 4
# NbMoAsBr2 | the Alexandria database | PBE-GGA | relaxed
# - Formation energy without anion corrections: 1133 meV/atom
# - Excess energy over the best structure of this formula in the dataset: 1.81 eV/f.u.
# - Size of the total moment: 1.46 μB per formula unit
# - Total DFT energy (no corrections): -23.23 eV/cell
data_NbMoAsBr2
_cell_length_a 5.056
_cell_length_b 5.056
_cell_length_c 4.977
_cell_angle_alpha 90.00
_cell_angle_beta 90.00
_cell_angle_gamma 90.00
_space_group_name_H-M_alt 'P 4/m m m'
_space_group_IT_number 123
_space_group_name_Hall '-P 4 2'
loop_
_atom_site_label
_atom_site_type_symbol
_atom_site_fract_x
_atom_site_fract_y
_atom_site_fract_z
_atom_site_occupancy
Nb1 Nb 0.000 0.000 0.000 1
Mo1 Mo 0.500 0.500 0.500 1
As1 As 0.500 0.500 0.000 1
Br1 Br 0.000 0.500 0.500 1

=====

Record 5
# NiMoAs2Br | the Alexandria database | PBE-GGA | relaxed
# - Formation energy without anion corrections: 846 meV/atom
# - Excess energy over the best structure of this formula in the dataset: 0.00 eV/f.u.
# - Size of the total moment: 2.83 μB per formula unit
# - Total DFT energy (no corrections): -23.35 eV/cell
data_NiMoAs2Br
_cell_length_a 4.568
_cell_length_b 4.568
_cell_length_c 4.931
_cell_angle_alpha 90.00
_cell_angle_beta 90.00
_cell_angle_gamma 90.00
_space_group_name_H-M_alt 'P 4/m m m'
_space_group_IT_number 123
_space_group_name_Hall '-P 4 2'
loop_
_atom_site_label
_atom_site_type_symbol
_atom_site_fract_x
_atom_site_fract_y
_atom_site_fract_z
_atom_site_occupancy
Ni1 Ni 0.000 0.000 0.000 1
Mo1 Mo 0.500 0.500 0.500 1
As1 As 0.000 0.500 0.000 1
Br1 Br 0.000 0.000 0.500 1

=====

Record 6
# NiMoAsBr2 | the Alexandria database | PBE-GGA | relaxed
# - Formation energy without anion corrections: 813 meV/atom
# - Excess energy over the best structure of this formula in the dataset: 0.00 eV/f.u.
# - Size of the total moment: 3.26 μB per formula unit
# - Total DFT energy (no corrections): -20.54 eV/cell
data_NiMoAsBr2
_cell_length_a 4.814
_cell_length_b 4.814
_cell_length_c 4.812
_cell_angle_alpha 90.00
_cell_angle_beta 90.00
_cell_angle_gamma 90.00
_space_group_name_H-M_alt 'P 4/m m m'
_space_group_IT_number 123
_space_group_name_Hall '-P 4 2'
loop_
_atom_site_label
_atom_site_type_symbol
_atom_site_fract_x
_atom_site_fract_y
_atom_site_fract_z
_atom_site_occupancy
Ni1 Ni 0.000 0.000 0.000 1
Mo1 Mo 0.500 0.500 0.500 1
As1 As 0.000 0.000 0.500 1
Br1 Br 0.000 0.500 0.000 1